First-principles (PBE) data for a relaxed PrEr2Mg2 crystal, as listed in the Alexandria database.

Properties
For the formation energy from the elements, the calculation gives -60 meV/atom. The value obtained for the magnetization is 0.00 μB/atom. Its space-group type is No. 11. The distance to the lowest polymorph of the same formula is 0.000 eV/atom. The value obtained for the total energy is -3.479 eV/atom.

Lattice parameters (Å, degrees): 3.7525 5.4920 14.0927 90.00 97.67 90.00
Fractional coordinates of all 10 atoms:
1 Er 0.0448 0.7500 0.0893
2 Pr 0.1515 0.2500 0.3014
3 Er 0.2373 0.7500 0.4749
4 Pr 0.8485 0.7500 0.6986
5 Mg 0.6399 0.7500 0.2799
6 Mg 0.3601 0.2500 0.7201
7 Mg 0.4493 0.7500 0.8990
8 Mg 0.5507 0.2500 0.1010
9 Er 0.7627 0.2500 0.5251
10 Er 0.9552 0.2500 0.9107


First-principles (PBE) data for a relaxed Ag3SnAu3 crystal, as listed in the Alexandria database.

Properties
For the formation energy from the elements, the calculation gives -14 meV/atom. The value obtained for the magnetization is 0.00 μB/atom. Its space-group type is No. 198. The distance to the lowest polymorph of the same formula is 0.000 eV/atom. The value obtained for the total energy is -3.213 eV/atom.

Lattice parameters (Å, degrees): 8.2321 8.2321 8.2321 90.00 90.00 90.00
Fractional coordinates of all 28 atoms:
1 Ag 0.9059 0.9059 0.9059
2 Au 0.3565 0.5604 0.7565
3 Au 0.6435 0.0604 0.7435
4 Ag 0.8811 0.6189 0.3811
5 Au 0.0604 0.7435 0.6435
6 Au 0.5604 0.7565 0.3565
7 Ag 0.3811 0.8811 0.6189
8 Sn 0.5480 0.9520 0.0480
9 Au 0.4396 0.2565 0.1435
10 Au 0.2565 0.1435 0.4396
11 Au 0.8565 0.9396 0.2435
12 Sn 0.9520 0.0480 0.5480
13 Ag 0.3066 0.1934 0.8066
14 Ag 0.1934 0.8066 0.3066
15 Ag 0.4059 0.5941 0.0941
16 Au 0.7435 0.6435 0.0604
17 Ag 0.6189 0.3811 0.8811
18 Sn 0.4520 0.4520 0.4520
19 Au 0.7565 0.3565 0.5604
20 Au 0.1435 0.4396 0.2565
21 Ag 0.6934 0.6934 0.6934
22 Ag 0.1189 0.1189 0.1189
23 Ag 0.8066 0.3066 0.1934
24 Au 0.9396 0.2435 0.8565
25 Sn 0.0480 0.5480 0.9520
26 Ag 0.5941 0.0941 0.4059
27 Au 0.2435 0.8565 0.9396
28 Ag 0.0941 0.4059 0.5941


So what do the calculations give for V? Going down the list: 287.83, 557.87 Å³ per cell.